No. 1
A geometry-optimized Pm2HoP3Rh12 structure, computed with GGA-PBE.

Structure (POSCAR):
```
Pm2HoP3Rh12
1.0
4.507 2.602 4.289
-4.507 2.602 4.289
0.000 -5.204 4.289
Pm Ho P Rh
2 1 3 12
Cartesian
0.000 0.000 1.638
0.000 0.000 11.229
0.000 0.000 6.434
-2.253 -1.301 4.289
-2.253 1.301 8.578
0.000 2.602 4.289
0.000 -2.371 3.675
-2.054 1.186 3.675
-2.310 -1.334 6.520
0.000 -2.667 6.347
-2.310 1.334 6.347
-2.054 -1.186 9.193
2.054 1.186 3.675
2.310 -1.334 6.520
0.000 2.667 6.520
2.310 1.334 6.347
2.054 -1.186 9.193
0.000 2.371 9.193
```

E_form: -0.358 eV per atom
Magnetic moment: 0.000 μB/f.u.
Final energy: -0.2551 Ha/atom

---

No. 2
A geometry-optimized Pm2HoScP4 structure, computed with GGA-PBE.

Structure (POSCAR):
```
Pm2HoScP4
1.0
6.929 0.000 0.000
0.000 4.013 0.000
-2.319 0.000 6.543
Pm Ho Sc P
2 1 1 4
Cartesian
0.000 0.000 0.000
-1.159 2.006 3.271
2.305 0.000 3.271
3.464 2.006 0.000
1.249 2.006 1.626
0.088 0.000 4.984
4.522 0.000 1.558
3.362 2.006 4.916
```

E_form: -1.528 eV per atom
Magnetic moment: 0.000 μB/f.u.
Final energy: -0.2493 Ha/atom

---

No. 3
A geometry-optimized PmSm2HoP4 structure, computed with GGA-PBE.

Structure (POSCAR):
```
PmSm2HoP4
1.0
7.072 0.000 0.000
0.000 4.087 0.000
-2.357 0.000 6.668
Pm Sm Ho P
1 2 1 4
Cartesian
0.000 0.000 0.000
2.358 0.000 3.334
3.536 2.043 0.000
-1.178 2.043 3.334
-0.018 0.000 4.965
1.161 2.043 1.690
3.555 2.043 4.979
4.734 0.000 1.703
```

E_form: -1.575 eV per atom
Magnetic moment: 0.000 μB/f.u.
Final energy: -0.2435 Ha/atom

---

No. 4
A geometry-optimized TbPmHo2P4 structure, computed with GGA-PBE.

Structure (POSCAR):
```
TbPmHo2P4
1.0
6.985 0.000 0.000
0.000 4.036 0.000
-2.328 0.000 6.587
Tb Pm Ho P
1 1 2 4
Cartesian
0.000 0.000 0.000
-1.164 2.018 3.294
2.328 0.000 3.294
3.493 2.018 0.000
1.199 2.018 1.638
0.035 0.000 4.973
4.621 0.000 1.614
3.458 2.018 4.949
```

E_form: -1.596 eV per atom
Magnetic moment: 0.000 μB/f.u.
Final energy: -0.2432 Ha/atom

---

No. 5
A geometry-optimized Tb3PmHo2P6 structure, computed with GGA-PBE.

Structure (POSCAR):
```
Tb3PmHo2P6
1.0
3.492 -6.048 0.000
3.492 6.048 0.000
-2.327 0.000 6.587
Tb Pm Ho P
3 1 2 6
Cartesian
0.000 0.000 0.000
3.492 2.005 0.000
3.492 -2.005 0.000
2.329 0.000 3.293
2.329 4.029 3.293
2.329 -4.029 3.293
1.148 2.044 1.643
-0.032 0.000 4.940
1.148 -2.044 1.643
3.510 2.044 4.944
4.690 0.000 1.647
3.510 -2.044 4.944
```

E_form: -1.600 eV per atom
Magnetic moment: 0.000 μB/f.u.
Final energy: -0.2433 Ha/atom

---

No. 6
A geometry-optimized TbPm2HoP4 structure, computed with GGA-PBE.

Structure (POSCAR):
```
TbPm2HoP4
1.0
7.047 0.000 0.000
0.000 4.072 0.000
-2.349 0.000 6.646
Tb Pm Ho P
1 2 1 4
Cartesian
0.000 0.000 0.000
2.349 0.000 3.323
3.523 2.036 0.000
-1.175 2.036 3.323
-0.047 0.000 4.960
1.127 2.036 1.653
3.571 2.036 4.993
4.744 0.000 1.686
```

E_form: -1.584 eV per atom
Magnetic moment: 0.000 μB/f.u.
Final energy: -0.2436 Ha/atom